(1)
DFT (GGA-PBE) results for crystalline PrSm2ZnN at its relaxed geometry.

Structure (POSCAR):
```
PrSm2ZnN
1.0
4.908 0.000 0.000
0.000 4.908 0.000
0.000 0.000 5.052
Zn Pr Sm N
1 1 2 1
Direct
0.500 0.500 0.500
0.000 0.000 0.500
0.500 0.000 0.000
0.000 0.500 0.000
0.000 0.000 0.000
```

Output
Formation energy (no corrections): -650 meV per atom
Fermi-level density of states: 5.28 states/eV/cell
Uncorrected energy: -5.414 eV per atom
Space group: P4/mmm (123)

***

(2)
DFT (GGA-PBE) results for crystalline Pr2SmZrN4 at its relaxed geometry.

Structure (POSCAR):
```
Pr2SmZrN4
1.0
-2.034 0.106 -2.877
-2.134 -5.591 1.303
-3.602 4.208 2.701
Pr N Sm Zr
2 4 1 1
Direct
0.000 0.500 0.500
0.500 0.000 0.500
0.000 0.239 0.771
0.500 0.228 0.223
0.000 0.761 0.229
0.500 0.772 0.777
0.500 0.500 0.000
0.000 0.000 0.000
```

Output
Formation energy (no corrections): -1435 meV per atom
Fermi-level density of states: 1.15 states/eV/cell
Uncorrected energy: -8.451 eV per atom
Space group: P2/m (10)

***

(3)
DFT (GGA-PBE) results for crystalline PrSm2ZrN4 at its relaxed geometry.

Structure (POSCAR):
```
PrSm2ZrN4
1.0
-0.092 -3.508 -0.097
3.984 0.023 -4.645
3.060 -0.226 5.256
Sm N Pr Zr
2 4 1 1
Direct
0.500 0.000 0.500
0.000 0.500 0.500
0.000 0.231 0.759
0.500 0.228 0.233
0.000 0.769 0.241
0.500 0.772 0.767
0.500 0.500 0.000
0.000 0.000 0.000
```

Output
Formation energy (no corrections): -1468 meV per atom
Fermi-level density of states: 1.13 states/eV/cell
Uncorrected energy: -8.477 eV per atom
Space group: P2/m (10)

***

(4)
DFT (GGA-PBE) results for crystalline Pr2SnN at its relaxed geometry.

Structure (POSCAR):
```
Pr2SnN
1.0
-3.556 1.062 0.247
-2.713 -2.542 -0.126
-1.755 -1.253 8.135
Sn N Pr
1 1 2
Direct
0.000 0.000 0.000
0.500 0.500 0.500
0.225 0.225 0.326
0.775 0.775 0.674
```

Output
Formation energy (no corrections): -969 meV per atom
Fermi-level density of states: 1.15 states/eV/cell
Uncorrected energy: -6.440 eV per atom
Space group: R-3m (166)

***

(5)
DFT (GGA-PBE) results for crystalline Pr4SnN at its relaxed geometry.

Structure (POSCAR):
```
Pr4SnN
1.0
-3.674 -0.699 2.995
-2.229 -2.609 -3.344
3.232 -6.036 2.555
Sn N Pr
1 1 4
Direct
0.000 0.000 0.000
0.500 0.500 0.500
0.000 0.500 0.714
0.500 0.000 0.714
0.500 0.000 0.286
0.000 0.500 0.286
```

Output
Formation energy (no corrections): -226 meV per atom
Fermi-level density of states: 6.58 states/eV/cell
Uncorrected energy: -5.467 eV per atom
Space group: P4/mmm (123)

***

(6)
DFT (GGA-PBE) results for crystalline Pr6Sn3N2 at its relaxed geometry.

Structure (POSCAR):
```
Pr6Sn3N2
1.0
0.130 -3.782 -3.161
4.928 0.154 0.019
-2.305 -6.568 11.610
Pr N Sn
6 2 3
Direct
0.306 0.306 0.613
0.916 0.416 0.832
0.416 0.916 0.832
0.584 0.084 0.168
0.084 0.584 0.168
0.694 0.694 0.387
0.604 0.604 0.208
0.396 0.396 0.792
0.176 0.176 0.353
0.000 0.000 0.000
0.824 0.824 0.647
```

Output
Formation energy (no corrections): -905 meV per atom
Fermi-level density of states: 1.94 states/eV/cell
Uncorrected energy: -6.117 eV per atom
Space group: I4/mmm (139)

***

(7)
DFT (GGA-PBE) results for crystalline Pr6Sn2N at its relaxed geometry.

Structure (POSCAR):
```
Pr6Sn2N
1.0
-1.526 0.001 3.464
-7.211 -4.513 -3.176
7.023 -4.265 3.095
Pr N Sn
6 1 2
Direct
0.500 0.577 0.000
0.500 0.988 0.598
0.000 0.237 0.000
0.500 0.390 0.402
0.000 0.782 0.791
0.000 0.992 0.209
0.500 0.063 0.000
0.000 0.314 0.656
0.000 0.657 0.344
```

Output
Formation energy (no corrections): -445 meV per atom
Fermi-level density of states: 11.01 states/eV/cell
Uncorrected energy: -5.446 eV per atom
Space group: Amm2 (38)

***

(8)
DFT (GGA-PBE) results for crystalline Pr3SnN2 at its relaxed geometry.

Structure (POSCAR):
```
Pr3SnN2
1.0
-5.355 2.775 -1.862
-3.046 -6.298 -0.938
-0.962 2.350 6.580
Pr N Sn
6 4 2
Direct
0.246 0.384 0.899
0.750 0.118 0.117
0.250 0.882 0.883
0.754 0.616 0.101
0.746 0.101 0.615
0.254 0.899 0.385
0.002 0.857 0.140
0.497 0.139 0.856
0.503 0.861 0.144
0.998 0.143 0.860
0.750 0.572 0.572
0.250 0.428 0.428
```

Output
Formation energy (no corrections): -933 meV per atom
Fermi-level density of states: 3.10 states/eV/cell
Uncorrected energy: -6.765 eV per atom
Space group: C2/c (15)

***

(9)
DFT (GGA-PBE) results for crystalline Pr2SnN at its relaxed geometry.

Structure (POSCAR):
```
Pr2SnN
1.0
-1.530 -2.551 1.367
0.843 -1.871 -2.550
6.868 -2.083 3.799
N Pr Sn
1 2 1
Direct
0.500 0.500 0.000
0.000 0.000 0.186
0.000 0.000 0.814
0.500 0.500 0.500
```

Output
Formation energy (no corrections): -569 meV per atom
Fermi-level density of states: 2.20 states/eV/cell
Uncorrected energy: -6.041 eV per atom
Space group: P4/mmm (123)

***

(10)
DFT (GGA-PBE) results for crystalline Pr2SnN at its relaxed geometry.

Structure (POSCAR):
```
Pr2SnN
1.0
-5.980 -1.604 -1.656
2.612 -3.861 -5.775
2.655 -8.570 10.381
N Pr Sn
6 12 6
Direct
0.000 0.000 0.500
0.500 0.500 0.500
0.574 0.205 0.021
0.000 0.500 0.500
0.500 0.000 0.500
0.426 0.795 0.979
0.323 0.555 0.649
0.750 0.928 0.007
0.211 0.719 0.418
0.321 0.052 0.646
0.677 0.445 0.351
0.687 0.394 0.934
0.679 0.948 0.354
0.789 0.281 0.582
0.215 0.228 0.434
0.785 0.772 0.566
0.250 0.072 0.993
0.313 0.606 0.066
0.868 0.654 0.792
0.132 0.346 0.208
0.845 0.059 0.783
0.832 0.639 0.178
0.155 0.941 0.217
0.168 0.361 0.822
```

Output
Formation energy (no corrections): -810 meV per atom
Fermi-level density of states: 8.22 states/eV/cell
Uncorrected energy: -6.282 eV per atom
Space group: P-1 (2)

***

(11)
DFT (GGA-PBE) results for crystalline Pr7Sn3N2 at its relaxed geometry.

Structure (POSCAR):
```
Pr7Sn3N2
1.0
4.926 0.000 -0.926
-0.174 4.923 -0.926
0.038 0.039 13.768
Pr N Sn
7 2 3
Direct
0.194 0.194 0.387
0.907 0.407 0.814
0.093 0.593 0.186
0.000 0.000 0.000
0.806 0.806 0.613
0.407 0.907 0.814
0.593 0.093 0.186
0.900 0.900 0.801
0.100 0.100 0.199
0.319 0.319 0.639
0.681 0.681 0.361
0.500 0.500 0.000
```

Output
Formation energy (no corrections): -896 meV per atom
Fermi-level density of states: 5.24 states/eV/cell
Uncorrected energy: -6.072 eV per atom
Space group: I4/mmm (139)

***

(12)
DFT (GGA-PBE) results for crystalline Pr3SnN at its relaxed geometry.

Structure (POSCAR):
```
Pr3SnN
1.0
-1.934 -1.938 4.254
-1.499 -4.104 -2.551
4.428 -2.236 0.994
Pr N Sn
3 1 1
Direct
0.500 0.500 0.000
0.500 0.000 0.500
0.000 0.500 0.500
0.500 0.500 0.500
0.000 0.000 0.000
```

Output
Formation energy (no corrections): -930 meV per atom
Fermi-level density of states: 2.86 states/eV/cell
Uncorrected energy: -6.264 eV per atom
Space group: Pm-3m (221)

***

Volume
In order: 122 126 123 98 168 318 258 293 87 624 334 130
Unit: Å³ per cell